Entry 1:
Entry from the Alexandria database: TbY6Zn2 after structural relaxation (PBE-GGA).

POSCAR file:
```
TbY6Zn2
1.0
3.587 0.000 0.569
1.580 6.117 1.629
0.004 -0.177 11.556
Tb Y Zn
1 6 2
Direct
0.000 0.000 0.000 Tb
0.690 0.495 0.125 Y
0.310 0.505 0.875 Y
0.315 0.780 0.589 Y
0.974 0.724 0.327 Y
0.026 0.276 0.673 Y
0.685 0.220 0.411 Y
0.351 0.095 0.203 Zn
0.649 0.905 0.797 Zn
```

- calculated formation energy (eV per atom) = -0.147
- mass density (g/cm3) = 5.37
- density of states at the Fermi level (states/eV per atom) = 1.26
- space-group type = No. 12

Entry 2:
Entry from the Alexandria database: CrCo4Cu after structural relaxation (PBE-GGA).

POSCAR file:
```
CrCo4Cu
1.0
-4.568 -0.885 0.187
-2.637 2.047 3.247
-3.061 3.290 -1.221
Cr Co Cu
1 4 1
Direct
0.250 0.250 0.250 Cr
0.625 0.625 0.124 Co
0.625 0.124 0.625 Co
0.625 0.625 0.625 Co
0.124 0.625 0.625 Co
0.000 0.000 0.000 Cu
```

- calculated formation energy (eV per atom) = 0.235
- mass density (g/cm3) = 8.17
- density of states at the Fermi level (states/eV per atom) = 1.58
- space-group type = No. 216

Entry 3:
Entry from the Alexandria database: LiYCl2 after structural relaxation (PBE-GGA).

POSCAR file:
```
LiYCl2
1.0
-0.878 1.430 3.055
1.699 -2.541 1.678
5.516 3.617 -0.108
Cl Li Y
2 1 1
Direct
0.000 0.000 0.986 Cl
0.000 0.000 0.514 Cl
0.500 0.500 0.250 Li
0.500 0.500 0.750 Y
```

- formation energy (no corrections) (eV per atom) = -1.217
- mass density (g/cm3) = 3.45
- density of states at the Fermi level (states/eV per atom) = 0.35
- space-group type = No. 123

Entry 4:
Entry from the Alexandria database: Sn2Ge2Bi after structural relaxation (PBE-GGA).

POSCAR file:
```
Sn2Ge2Bi
1.0
-0.504 -6.121 -6.226
-1.057 -6.148 6.130
-3.314 0.423 -0.148
Ge Bi Sn
4 2 4
Direct
0.146 0.646 0.500 Ge
0.646 0.854 0.500 Ge
0.854 0.354 0.500 Ge
0.354 0.146 0.500 Ge
0.000 0.000 0.000 Bi
0.500 0.500 0.000 Bi
0.352 0.852 0.000 Sn
0.852 0.648 0.000 Sn
0.648 0.148 0.000 Sn
0.148 0.352 0.000 Sn
```

- calculated formation energy (eV per atom) = 0.228
- mass density (g/cm3) = 7.68
- density of states at the Fermi level (states/eV per atom) = 0.59
- space-group type = No. 127

Entry 5:
Entry from the Alexandria database: ZnTe2As after structural relaxation (PBE-GGA).

POSCAR file:
```
ZnTe2As
1.0
5.966 0.000 0.000
0.000 5.966 0.000
2.983 2.983 7.299
As Te Zn
2 4 2
Direct
0.000 0.000 0.000 As
0.750 0.250 0.500 As
0.613 0.125 0.250 Te
0.137 0.625 0.250 Te
0.375 0.387 0.750 Te
0.875 0.863 0.750 Te
0.500 0.500 0.000 Zn
0.250 0.750 0.500 Zn
```

- formation energy (no corrections) (eV per atom) = 0.072
- mass density (g/cm3) = 5.06
- density of states at the Fermi level (states/eV per atom) = 0.43
- space-group type = No. 122

Entry 6:
Entry from the Alexandria database: Mg2BRh after structural relaxation (PBE-GGA).

POSCAR file:
```
Mg2BRh
1.0
9.122 0.000 0.000
0.000 9.122 0.000
4.561 4.561 1.971
Mg B Rh
4 2 2
Direct
0.395 0.125 0.250 Mg
0.355 0.625 0.250 Mg
0.375 0.605 0.750 Mg
0.875 0.645 0.750 Mg
0.500 0.500 0.000 B
0.250 0.750 0.500 B
0.000 0.000 0.000 Rh
0.750 0.250 0.500 Rh
```

- calculated formation energy (eV per atom) = 0.082
- mass density (g/cm3) = 3.29
- density of states at the Fermi level (states/eV per atom) = 0.65
- space-group type = No. 122

Entry 7:
Entry from the Alexandria database: Pr2Nd4Sm2Dy after structural relaxation (PBE-GGA).

POSCAR file:
```
Pr2Nd4Sm2Dy
1.0
3.694 0.000 0.000
-1.847 9.559 -0.480
0.000 -3.790 9.068
Pr Nd Sm Dy
2 4 2 1
Direct
0.335 0.669 0.001 Pr
0.665 0.331 0.999 Pr
0.815 0.629 0.667 Nd
0.185 0.371 0.333 Nd
0.518 0.036 0.331 Nd
0.482 0.964 0.669 Nd
0.852 0.705 0.333 Sm
0.148 0.295 0.667 Sm
0.000 0.000 0.000 Dy
```

- calculated formation energy (eV per atom) = 0.011
- mass density (g/cm3) = 7.00
- density of states at the Fermi level (states/eV per atom) = 1.31
- space-group type = No. 12

Entry 8:
Entry from the Alexandria database: BaPOs2Ru after structural relaxation (PBE-GGA).

POSCAR file:
```
BaPOs2Ru
1.0
4.903 0.000 0.000
0.000 4.568 0.000
0.000 0.000 4.903
Ru Os Ba P
1 2 1 1
Direct
0.000 0.000 0.000 Ru
0.000 0.000 0.500 Os
0.500 0.000 0.000 Os
0.500 0.500 0.500 Ba
0.000 0.500 0.000 P
```

- calculated formation energy (eV per atom) = 1.105
- mass density (g/cm3) = 9.83
- density of states at the Fermi level (states/eV per atom) = 0.93
- space-group type = No. 123